# 1
Entry from Alexandria: a relaxed MnRe2Hg crystal (PBE).

Lattice parameters (Å, degrees): 5.3748 8.2338 2.8519 90.00 90.00 90.00
Last column: nearest neighbours and their distance in Å.
Space group Cmmm (No. 65)
One atom of each set of equivalent atoms:
Mn: 0.0000 0.0000 0.0000  2 Hg 2.69, 8 Re 2.84, 2 Mn 2.85
Re: 0.2500 0.2500 0.5000  4 Re 2.69-2.85, 4 Hg 2.84, 4 Mn 2.84
Hg: 0.0000 0.5000 0.0000  2 Mn 2.69, 8 Re 2.84, 2 Hg 2.85

Values from the calculation:
N(E_F), states/eV per cell: 6.82
Total magnetic moment, μB/atom: 0.563
DFT total energy, eV/atom: -7.8459
Energy of formation from the pure elements, kcal/mol of atoms: 17.20
Calculated density, g/cm³: 16.52

=====

# 2
Entry from Alexandria: a relaxed Mo2AuCS crystal (PBE).

Lattice parameters (Å, degrees): 4.1813 4.1813 4.2621 90.00 90.00 90.00
Last column: nearest neighbours and their distance in Å.
Space group P4/mmm (No. 123)
One atom of each set of equivalent atoms:
Mo: 0.0000 0.5000 0.0000  2 C 2.09
Au: 0.0000 0.0000 0.5000  4 S 2.96, 8 Mo 2.99
C: 0.5000 0.5000 0.0000  4 Mo 2.09, 2 S 2.13
S: 0.5000 0.5000 0.5000  2 C 2.13

Values from the calculation:
N(E_F), states/eV per cell: 5.66
Total magnetic moment, μB/atom: 0.000
DFT total energy, eV/atom: -6.7965
Calculated density, g/cm³: 9.65
Formation energy (no corrections), meV per atom: 862

=====

# 3
Entry from Alexandria: a relaxed CoSbTeN2 crystal (PBE).

Lattice parameters (Å, degrees): 3.9364 3.9364 6.5876 90.00 90.00 90.00
Last column: nearest neighbours and their distance in Å.
Space group P4/mmm (No. 123)
One atom of each set of equivalent atoms:
Co: 0.0000 0.0000 0.0000  4 Te 2.78
Sb: 0.5000 0.5000 0.5000  4 N 1.97
Te: 0.5000 0.5000 0.0000  4 Co 2.78
N: 0.0000 0.5000 0.5000  2 Sb 1.97

Values from the calculation:
N(E_F), states/eV per cell: 4.35
Total magnetic moment, μB/atom: 0.561
DFT total energy, eV/atom: -4.7190
Distance to the lowest polymorph of the same formula, kJ/mol of formula units: 108
Calculated density, g/cm³: 5.47
Formation energy (no corrections), meV per atom: 1485

=====

# 4
Entry from Alexandria: a relaxed Sc2TaGa crystal (PBE).

Lattice parameters (Å, degrees): 3.1241 3.1241 8.0597 90.00 90.00 90.00
Last column: nearest neighbours and their distance in Å.
Space group P4/mmm (No. 123)
One atom of each set of equivalent atoms:
Sc: 0.0000 0.0000 0.2359  4 Ga 2.91, 4 Ta 3.07, 4 Sc 3.12
Ta: 0.5000 0.5000 0.5000  8 Sc 3.07, 4 Ta 3.12
Ga: 0.5000 0.5000 0.0000  8 Sc 2.91, 4 Ga 3.12

Values from the calculation:
N(E_F), states/eV per cell: 4.15
Total magnetic moment, μB/atom: 0.000
DFT total energy, eV/atom: -7.0781
Energy of formation from the pure elements, kcal/mol of atoms: -4.44
Calculated density, g/cm³: 7.19

=====

# 5
Entry from Alexandria: a relaxed LaThTe2 crystal (PBE).

Lattice parameters (Å, degrees): 3.8843 3.8843 7.7797 90.00 90.00 90.00
Last column: nearest neighbours and their distance in Å.
Space group P4/mmm (No. 123)
One atom of each set of equivalent atoms:
La: 0.0000 0.0000 0.0000  8 Te 3.40
Th: 0.0000 0.0000 0.5000  8 Te 3.33
Te: 0.5000 0.5000 0.2584  4 Th 3.33, 4 La 3.40

Values from the calculation:
N(E_F), states/eV per cell: 2.59
Total magnetic moment, μB/atom: 0.000
DFT total energy, eV/atom: -5.9419
Distance to the lowest polymorph of the same formula, kJ/mol of formula units: 5
Calculated density, g/cm³: 8.86
Formation energy (no corrections), meV per atom: -1284

=====

# 6
Entry from Alexandria: a relaxed AsPb3W crystal (PBE).

Lattice parameters (Å, degrees): 5.4231 5.4231 5.4231 90.00 90.00 90.00
Last column: nearest neighbours and their distance in Å.
Space group Pm-3m (No. 221)
One atom of each set of equivalent atoms:
As: 0.0000 0.0000 0.0000  12 Pb 3.83
Pb: 0.0000 0.5000 0.5000  2 W 2.71
W: 0.5000 0.5000 0.5000  6 Pb 2.71

Values from the calculation:
N(E_F), states/eV per cell: 2.50
Total magnetic moment, μB/atom: 0.597
DFT total energy, eV/atom: -4.8678
Energy of formation from the pure elements, kcal/mol of atoms: 20.24
Distance to the lowest polymorph of the same formula, kJ/mol of formula units: 0
Calculated density, g/cm³: 9.17

=====

# 7
Entry from Alexandria: a relaxed VTcH2 crystal (PBE).

Lattice parameters (Å, degrees): 4.0694 4.0694 8.2966 90.00 90.00 90.00
Last column: nearest neighbours and their distance in Å.
Space group I-42d (No. 122)
One atom of each set of equivalent atoms:
V: 0.0000 0.0000 0.0000  4 H 1.75
Tc: 0.0000 0.0000 0.5000  4 H 1.80
H: 0.2407 0.2500 0.1250  2 V 1.75, 2 Tc 1.80

Values from the calculation:
N(E_F), states/eV per cell: 10.24
Total magnetic moment, μB/atom: 0.000
DFT total energy, eV/atom: -6.5654
Distance to the lowest polymorph of the same formula, kJ/mol of formula units: 37
Calculated density, g/cm³: 7.30

=====

# 8
Entry from Alexandria: a relaxed PuPa2Co9 crystal (PBE).

Lattice parameters (Å, degrees): 4.8728 4.8728 24.4408 90.00 90.00 120.00
Last column: nearest neighbours and their distance in Å.
Space group R-3m (No. 166, hexagonal axes)
One atom of each set of equivalent atoms:
Pu: 0.0000 0.0000 0.0000  6 Co 2.81
Pa: 0.0000 0.0000 0.1370  9 Co 2.78-2.91
Co: 0.0000 0.0000 0.3335  6 Co 2.44-2.45
Co: 0.0000 0.0000 0.5000  6 Co 2.50
Co: 0.0004 0.5002 0.0819  7 Co 2.43-2.50

Values from the calculation:
N(E_F), states/eV per cell: 62.48
Total magnetic moment, μB/atom: 0.094
DFT total energy, eV/atom: -8.3293
Energy of formation from the pure elements, kcal/mol of atoms: -5.14
Calculated density, g/cm³: 12.26

=====

# 9
Entry from Alexandria: a relaxed Pb2CI crystal (PBE).

Lattice parameters (Å, degrees): 7.4808 7.4808 8.6555 90.00 90.00 90.00
Last column: nearest neighbours and their distance in Å.
Space group I-42d (No. 122)
One atom of each set of equivalent atoms:
Pb: 0.1387 0.2500 0.1250  2 C 2.40
C: 0.0000 0.0000 0.0000  4 Pb 2.40
I: 0.0000 0.0000 0.5000  4 Pb 3.46

Values from the calculation:
N(E_F), states/eV per cell: 9.85
Total magnetic moment, μB/atom: 0.000
DFT total energy, eV/atom: -3.7787
Distance to the lowest polymorph of the same formula, kJ/mol of formula units: 0
Calculated density, g/cm³: 7.59
Formation energy (no corrections), meV per atom: 769

=====

# 10
Entry from Alexandria: a relaxed PtNClF2 crystal (PBE).

Lattice parameters (Å, degrees): 4.3461 4.3461 3.7489 90.00 90.00 90.00
Last column: nearest neighbours and their distance in Å.
Space group P4/mmm (No. 123)
One atom of each set of equivalent atoms:
Pt: 0.0000 0.0000 0.0000  2 N 1.87
N: 0.0000 0.0000 0.5000  2 Pt 1.87
Cl: 0.5000 0.5000 0.5000  8 F 2.87, 4 N 3.07
F: 0.0000 0.5000 0.0000  2 Pt 2.17

Values from the calculation:
N(E_F), states/eV per cell: 4.98
Total magnetic moment, μB/atom: 0.181
DFT total energy, eV/atom: -3.8004
Distance to the lowest polymorph of the same formula, kJ/mol of formula units: 0
Calculated density, g/cm³: 6.63
Formation energy (no corrections), meV per atom: 191

=====

# 11
Entry from Alexandria: a relaxed NdAs2Rh5Pb crystal (PBE).

Lattice parameters (Å, degrees): 4.1219 4.1219 10.8156 90.00 90.00 90.00
Last column: nearest neighbours and their distance in Å.
Space group P4/mmm (No. 123)
One atom of each set of equivalent atoms:
Nd: 0.0000 0.0000 0.0000  4 Rh 2.91
As: 0.5000 0.5000 0.2191  5 Rh 2.37-2.38
Rh: 0.0000 0.5000 0.3300  2 As 2.38
Rh: 0.5000 0.5000 0.0000  2 As 2.37
Pb: 0.0000 0.0000 0.5000  8 Rh 2.76

Values from the calculation:
N(E_F), states/eV per cell: 5.29
Total magnetic moment, μB/atom: 0.000
DFT total energy, eV/atom: -6.4497
Energy of formation from the pure elements, kcal/mol of atoms: -9.01
Calculated density, g/cm³: 9.18

=====

DFT total energy of number 1 (MnRe2Hg)? -7.8459 eV/atom

=====

What is the N(E_F) in the fifth record? 2.59 states/eV per cell